1.
Density functional theory data (PBE) for crystalline Li2ZrAg at its relaxed geometry.

Values from the calculation:
Size of the total moment = 0.0 μB per formula unit
Formation energy from the elements = 0.12 eV/atom
Crystal system = monoclinic

a = 5.183 Å, b = 5.183 Å, c = 5.307 Å
α = 80.38°, β = 80.38°, γ = 32.07°
Fractional coordinates of all 4 atoms:
Li (0.740, 0.740, 0.793)
Li (0.991, 0.991, 0.984)
Zr (0.507, 0.507, 0.472)
Ag (0.262, 0.262, 0.251)



2.
Density functional theory data (PBE) for crystalline Li2ZrAg at its relaxed geometry.

Values from the calculation:
Size of the total moment = 0.0 μB per formula unit
Formation energy from the elements = 0.14 eV/atom
Crystal system = tetragonal

a = 4.676 Å, b = 4.676 Å, c = 4.676 Å
α = 120.24°, β = 120.30°, γ = 89.54°
Fractional coordinates of all 4 atoms:
Ag (0.250, 0.750, 0.500)
Zr (0.500, 0.500, 0.000)
Li (0.750, 0.250, 0.500)
Li (0.000, 0.000, 0.000)



3.
Density functional theory data (PBE) for crystalline Li2ZrAg at its relaxed geometry.

Values from the calculation:
Size of the total moment = 0.0 μB per formula unit
Formation energy from the elements = 0.23 eV/atom
Crystal system = orthorhombic

a = 5.543 Å, b = 5.543 Å, c = 2.776 Å
α = 90.00°, β = 90.00°, γ = 115.97°
Fractional coordinates of all 4 atoms:
Li (0.000, 0.000, 0.000)
Li (0.500, 0.500, 0.000)
Ag (0.000, 0.500, 0.500)
Zr (0.500, 0.000, 0.500)



Going through the records in order, we get excess energy over the best structure of this formula in the dataset values of 0.36, 0.43, 0.78 eV per formula unit.